*A*
The following is a DFT calculation (GGA-PBE) of a relaxed BaNOF2 crystal.

Cell lengths 4.9975, 4.9975, 5.9071 Å; angles 90.00, 90.00, 90.00 degrees
With the nearest neighbours (Å) after each atom.
Space group P4/mmm (No. 123)
Symmetry-distinct sites (fractional):
Ba (0.0000, 0.0000, 0.0000) (multiplicity 1)  4 F 2.50
N (0.5000, 0.5000, 0.5000) (multiplicity 1)  4 O 3.53, 8 F 3.87
O (0.0000, 0.0000, 0.5000) (multiplicity 1)  2 Ba 2.95
F (0.0000, 0.5000, 0.0000) (multiplicity 2)  2 Ba 2.50

The crystal system is tetragonal. The value obtained for the total magnetization is 0.200 μB per atom.

***

*B*
The following is a DFT calculation (GGA-PBE) of a relaxed BaNOF2 crystal.

Cell lengths 4.3850, 4.3850, 3.4992 Å; angles 90.00, 90.00, 90.00 degrees
With the nearest neighbours (Å) after each atom.
Space group P4/mmm (No. 123)
Symmetry-distinct sites (fractional):
Ba (0.0000, 0.0000, 0.0000) (multiplicity 1)  8 F 2.81, 4 O 3.10
N (0.5000, 0.5000, 0.5000) (multiplicity 1)  2 O 1.75
O (0.5000, 0.5000, 0.0000) (multiplicity 1)  2 N 1.75
F (0.0000, 0.5000, 0.5000) (multiplicity 2)  2 N 2.19

The crystal system is tetragonal. The value obtained for the total magnetization is 0.000 μB per atom.

***

Quick ranking, most stable first: *B*, *A*.

***

*A*
The following is a DFT calculation (GGA-PBE) of a relaxed BaOsN2F crystal.

Cell lengths 4.7154, 4.7154, 4.7455 Å; angles 90.00, 90.00, 90.00 degrees
With the nearest neighbours (Å) after each atom.
Space group P4/mmm (No. 123)
Symmetry-distinct sites (fractional):
Ba (0.0000, 0.0000, 0.0000) (multiplicity 1)  4 N 2.36, 2 F 2.37
Os (0.5000, 0.5000, 0.5000) (multiplicity 1)  4 F 3.33, 8 N 3.34
N (0.0000, 0.5000, 0.0000) (multiplicity 2)  2 Ba 2.36
F (0.0000, 0.0000, 0.5000) (multiplicity 1)  2 Ba 2.37

The crystal system is tetragonal. The value obtained for the total magnetization is 1.052 μB per atom.

***

*B*
The following is a DFT calculation (GGA-PBE) of a relaxed BaOsN2F crystal.

Cell lengths 3.8741, 3.8741, 5.0693 Å; angles 90.00, 90.00, 90.00 degrees
With the nearest neighbours (Å) after each atom.
Space group P4/mmm (No. 123)
Symmetry-distinct sites (fractional):
Ba (0.0000, 0.0000, 0.0000) (multiplicity 1)  4 F 2.74
Os (0.5000, 0.5000, 0.5000) (multiplicity 1)  4 N 1.94
N (0.0000, 0.5000, 0.5000) (multiplicity 2)  2 Os 1.94
F (0.5000, 0.5000, 0.0000) (multiplicity 1)  2 Os 2.53, 4 Ba 2.74

The crystal system is tetragonal. The value obtained for the total magnetization is 0.001 μB per atom.

***

Quick ranking, most stable first: *B*, *A*.

***

*A*
The following is a DFT calculation (GGA-PBE) of a relaxed BaOsNF2 crystal.

Cell lengths 4.6103, 4.6103, 3.8087 Å; angles 90.00, 90.00, 90.00 degrees
With the nearest neighbours (Å) after each atom.
Space group P4/mmm (No. 123)
Symmetry-distinct sites (fractional):
Ba (0.0000, 0.0000, 0.0000) (multiplicity 1)  8 F 2.99, 4 N 3.26
Os (0.5000, 0.5000, 0.5000) (multiplicity 1)  2 N 1.90
N (0.5000, 0.5000, 0.0000) (multiplicity 1)  2 Os 1.90
F (0.0000, 0.5000, 0.5000) (multiplicity 2)  2 Os 2.31

The crystal system is tetragonal. The value obtained for the total magnetization is 0.096 μB per atom.

***

*B*
The following is a DFT calculation (GGA-PBE) of a relaxed BaOsNF2 crystal.

Cell lengths 4.8171, 4.8171, 5.5932 Å; angles 90.00, 90.00, 90.00 degrees
With the nearest neighbours (Å) after each atom.
Space group P4/mmm (No. 123)
Symmetry-distinct sites (fractional):
Ba (0.0000, 0.0000, 0.0000) (multiplicity 1)  4 F 2.41
Os (0.5000, 0.5000, 0.5000) (multiplicity 1)  4 N 3.41, 8 F 3.69
N (0.0000, 0.0000, 0.5000) (multiplicity 1)  2 Ba 2.80
F (0.0000, 0.5000, 0.0000) (multiplicity 2)  2 Ba 2.41

The crystal system is tetragonal. The value obtained for the total magnetization is 1.401 μB per atom.

***

Quick ranking, most stable first: *A*, *B*.